First-principles (SCAN) data for KScPt2 at its PBEsol-relaxed geometry, as listed in Alexandria.

Cell lengths 3.5434, 3.5434, 24.6013 Å; angles 90.00, 90.00, 120.00 degrees
Space group R-3m (No. 166, hexagonal axes)
Inequivalent atoms, fractional coordinates:
K  0.0000  0.0000  0.0000
Sc  0.0000  0.0000  0.5000
Pt  0.0000  0.0000  0.2335

Output
magnetic moment	0.0	μB/f.u.
E_form	-200	kJ/mol of formula units
E_tot	-41.26	eV per atom